*1*
The following is a DFT calculation (PBE) of a geometry-optimized LiYBAu structure.

The structure belongs to space group F-43m (No. 216); the cell edges are 6.360, 6.360 and 6.360 Å and the angles 90.00°, 90.00° and 90.00°. Symmetry generates all atoms from Li at (0.000, 0.000, 0.000), Y at (0.250, 0.250, 0.250), B at (0.250, 0.250, 0.750) and Au at (0.000, 0.000, 0.500).

The value obtained for the calculated volume is 257 Å³/cell.

=====

*2*
The following is a DFT calculation (PBE) of a geometry-optimized LiYBAu structure.

The structure belongs to space group F-43m (No. 216); the cell edges are 6.209, 6.209 and 6.209 Å and the angles 90.00°, 90.00° and 90.00°. Symmetry generates all atoms from Li at (0.000, 0.000, 0.000), Y at (0.250, 0.250, 0.250), B at (0.000, 0.000, 0.500) and Au at (0.250, 0.250, 0.750).

The value obtained for the calculated volume is 239 Å³/cell.

=====

Which is most stable, and by how much? *2*, by 24.0 kJ/mol of atoms.

=====

*1*
The following is a DFT calculation (PBE) of a geometry-optimized Lu2BAu structure.

The structure belongs to space group P6_3/mmc (No. 194); the cell edges are 3.7951, 3.7951 and 13.4683 Å and the angles 90.00°, 90.00° and 120.00°. Symmetry generates all atoms from Lu at (0.3333, 0.6667, 0.0975), B at (0.0000, 0.0000, 0.0000) and Au at (0.3333, 0.6667, 0.7500).

The value obtained for the calculated volume is 168 Å³/cell.

=====

*2*
The following is a DFT calculation (PBE) of a geometry-optimized Lu2BAu structure.

The structure belongs to space group F-43m (No. 216); the cell edges are 6.706, 6.706 and 6.706 Å and the angles 90.00°, 90.00° and 90.00°. Symmetry generates all atoms from Lu at (0.000, 0.000, 0.000), Lu at (0.250, 0.250, 0.250), B at (0.000, 0.000, 0.500) and Au at (0.250, 0.250, 0.750).

The value obtained for the calculated volume is 302 Å³/cell.

=====

Which is most stable, and by how much? *1*, by 84.0 kJ/mol of atoms.

=====

*1*
The following is a DFT calculation (PBE) of a geometry-optimized MgB4Au structure.

The structure belongs to space group P6/mmm (No. 191); the cell edges are 3.0769, 3.0769 and 7.3059 Å and the angles 90.00°, 90.00° and 120.00°. Symmetry generates all atoms from Mg at (0.0000, 0.0000, 0.0000), B at (0.3333, 0.6667, 0.2307) and Au at (0.0000, 0.0000, 0.5000).

The value obtained for the calculated volume is 60 Å³/cell.

=====

*2*
The following is a DFT calculation (PBE) of a geometry-optimized MgB4Au structure.

The structure belongs to space group Immm (No. 71); the cell edges are 3.103, 5.228 and 7.467 Å and the angles 90.00°, 90.00° and 90.00°. Symmetry generates all atoms from Mg at (0.000, 0.000, 0.000), B at (0.000, 0.327, 0.263) and Au at (0.000, 0.000, 0.500).

The value obtained for the calculated volume is 121 Å³/cell.

=====

Which is most stable, and by how much? *2*, by 3.9 kJ/mol of atoms.

=====

*1*
The following is a DFT calculation (PBE) of a geometry-optimized BMoAu structure.

The structure belongs to space group F-43m (No. 216); the cell edges are 5.835, 5.835 and 5.835 Å and the angles 90.00°, 90.00° and 90.00°. Symmetry generates all atoms from B at (0.000, 0.000, 0.000), Mo at (0.000, 0.000, 0.500) and Au at (0.250, 0.250, 0.250).

The value obtained for the calculated volume is 199 Å³/cell.

=====

*2*
The following is a DFT calculation (PBE) of a geometry-optimized BMoAu structure.

The structure belongs to space group F-43m (No. 216); the cell edges are 5.826, 5.826 and 5.826 Å and the angles 90.00°, 90.00° and 90.00°. Symmetry generates all atoms from B at (0.000, 0.000, 0.000), Mo at (0.250, 0.250, 0.750) and Au at (0.000, 0.000, 0.500).

The value obtained for the calculated volume is 198 Å³/cell.

=====

Which is most stable, and by how much? *2*, by 15.6 kJ/mol of atoms.

=====

*1*
The following is a DFT calculation (PBE) of a geometry-optimized NiBMoAu structure.

The structure belongs to space group F-43m (No. 216); the cell edges are 5.940, 5.940 and 5.940 Å and the angles 90.00°, 90.00° and 90.00°. Symmetry generates all atoms from Ni at (0.000, 0.000, 0.000), B at (0.250, 0.250, 0.750), Mo at (0.000, 0.000, 0.500) and Au at (0.250, 0.250, 0.250).

The value obtained for the calculated volume is 210 Å³/cell.

=====

*2*
The following is a DFT calculation (PBE) of a geometry-optimized NiBMoAu structure.

The structure belongs to space group F-43m (No. 216); the cell edges are 5.855, 5.855 and 5.855 Å and the angles 90.00°, 90.00° and 90.00°. Symmetry generates all atoms from Ni at (0.000, 0.000, 0.000), B at (0.000, 0.000, 0.500), Mo at (0.250, 0.250, 0.750) and Au at (0.250, 0.250, 0.250).

The value obtained for the calculated volume is 201 Å³/cell.

=====

Which is most stable, and by how much? *2*, by 16.4 kJ/mol of atoms.

=====

*1*
The following is a DFT calculation (PBE) of a geometry-optimized BMoOsAu structure.

The structure belongs to space group F-43m (No. 216); the cell edges are 6.109, 6.109 and 6.109 Å and the angles 90.00°, 90.00° and 90.00°. Symmetry generates all atoms from B at (0.000, 0.000, 0.000), Mo at (0.250, 0.250, 0.750), Os at (0.000, 0.000, 0.500) and Au at (0.250, 0.250, 0.250).

The value obtained for the calculated volume is 228 Å³/cell.

=====

*2*
The following is a DFT calculation (PBE) of a geometry-optimized BMoOsAu structure.

The structure belongs to space group F-43m (No. 216); the cell edges are 6.045, 6.045 and 6.045 Å and the angles 90.00°, 90.00° and 90.00°. Symmetry generates all atoms from B at (0.000, 0.000, 0.000), Mo at (0.250, 0.250, 0.250), Os at (0.250, 0.250, 0.750) and Au at (0.000, 0.000, 0.500).

The value obtained for the calculated volume is 221 Å³/cell.

=====

Which is most stable, and by how much? *2*, by 15.6 kJ/mol of atoms.